Crystalline Li2VBPO7 at its relaxed geometry. Source: Alexandria via LeMat-Bulk, functional PBE+U.

The structure belongs to space group P2_1/m (No. 11); the cell edges are 5.2281, 6.2131 and 8.9769 Å and the angles 90.00°, 93.23° and 90.00°. Symmetry generates all atoms from Li at (0.2470, 0.0255, 0.1802), V at (0.2895, 0.7500, 0.6705), B at (0.2431, 0.7500, 0.9379), P at (0.2167, 0.2500, 0.5604), O at (0.0389, 0.7500, 0.8242), O at (0.0746, 0.7500, 0.4745), O at (0.2194, 0.7500, 0.0836), O at (0.2962, 0.0541, 0.6602), O at (0.3590, 0.2500, 0.4153) and O at (0.4771, 0.7500, 0.8623).

As for the theoretical density: 2.49 g/cm3. As for the final energy: -169.05 eV per cell.